Compound: TbCuSn
Source: OQMD
Functional: GGA-PBE
Structure: optimized geometry

Calculated values
For the electronic total energy, the calculation gives -4.6871 eV/atom. The calculated density is 8.55 g cm⁻³.

Unit cell a=4.518 b=4.518 c=7.496 alpha=90.00 beta=90.00 gamma=120.00
Fractional positions:
Tb1 0.000 0.000 0.000
Tb2 0.000 0.000 0.500
Cu1 0.333 0.667 0.250
Cu2 0.667 0.333 0.750
Sn1 0.333 0.667 0.750
Sn2 0.667 0.333 0.250